Record 1
PHPt4 | PBE-GGA | relaxed

Output
total DFT energy (no corrections) = -5.492 eV/atom
magnetic moment = 0.0 μB per cell
excess energy over the best structure of this formula in the dataset = 0.1816 eV per atom

Cell lengths 5.2524, 5.2524, 4.5234 Å; angles 104.53, 104.53, 60.85 degrees
Fractional positions:
P1 0.0000 0.0000 0.0000
H1 0.3581 0.6419 0.5000
Pt1 0.0208 0.6864 0.5583
Pt2 0.0857 0.3649 0.9736
Pt3 0.3136 0.9792 0.4417
Pt4 0.6351 0.9143 0.0264


Record 2
PHPt4 | PBE-GGA | relaxed

Output
total DFT energy (no corrections) = -5.674 eV/atom
magnetic moment = 0.0 μB per cell
excess energy over the best structure of this formula in the dataset = 0.0000 eV per atom

Cell lengths 6.7750, 6.7750, 5.5292 Å; angles 113.14, 113.14, 110.84 degrees
Fractional positions:
P1 0.1343 0.8657 0.7500
P2 0.8657 0.1343 0.2500
H1 0.4903 0.5097 0.2500
H2 0.5097 0.4903 0.7500
Pt1 0.0082 0.5102 0.2478
Pt2 0.2504 0.2514 0.2548
Pt3 0.2514 0.2504 0.7548
Pt4 0.4898 0.9918 0.2522
Pt5 0.5102 0.0082 0.7478
Pt6 0.7486 0.7496 0.2452
Pt7 0.7496 0.7486 0.7452
Pt8 0.9918 0.4898 0.7522


Record 3
PH2Pt6 | PBE-GGA | relaxed

Output
total DFT energy (no corrections) = -5.420 eV/atom
magnetic moment = 0.0 μB per cell

Cell lengths 8.3334, 8.3334, 5.3695 Å; angles 105.62, 105.62, 19.50 degrees
Fractional positions:
P1 0.0000 0.0000 0.0000
H1 0.2822 0.2822 0.4095
H2 0.7178 0.7178 0.5905
Pt1 0.1186 0.1186 0.8323
Pt2 0.2836 0.2836 0.7550
Pt3 0.4410 0.4410 0.6424
Pt4 0.5590 0.5590 0.3576
Pt5 0.7164 0.7164 0.2450
Pt6 0.8814 0.8814 0.1677


Record 4
P2HPt | PBE-GGA | relaxed

Output
total DFT energy (no corrections) = -4.747 eV/atom
magnetic moment = 0.0 μB per cell

Cell lengths 4.1243, 4.1243, 4.1243 Å; angles 60.00, 60.00, 60.00 degrees
Fractional positions:
P1 0.2500 0.2500 0.2500
P2 0.7500 0.7500 0.7500
H1 0.0000 0.0000 0.0000
Pt1 0.5000 0.5000 0.5000


no.,density of states at the Fermi level (states/eV per atom)
1,0.454
2,0.300
3,0.400
4,0.296